(1)
Below is a relaxed Th4SiAuSe2 crystal, with properties calculated at the PBE level.

Calculated values
**ρ**: 9905 kg/m³
**Final energy**: -54.13 eV per cell
**DOS at the Fermi energy**: 6.10 states/eV per cell
**Formation energy without anion corrections**: -1097.5 meV/atom
**Magnetic moment**: 0.00 μB per atom

The structure in extended XYZ format:
```
8
Lattice="4.246 0.000 0.000 0.000 7.301 -0.120 0.000 2.599 7.047" Properties=species:S:1:pos:R:3 pbc="T T T"
Th 0.000 7.382 5.274
Th 4.246 2.518 1.654
Th 2.123 6.067 1.652
Th 2.123 3.833 5.276
Si 2.123 3.650 -0.060
Au 0.000 4.950 3.464
Se 0.000 2.599 7.047
Se 2.123 1.299 3.524
```

(2)
Below is a relaxed Th6Si2AuSe3 crystal, with properties calculated at the PBE level.

Calculated values
**ρ**: 9510 kg/m³
**Final energy**: -82.54 eV per cell
**DOS at the Fermi energy**: 9.59 states/eV per cell
**Formation energy without anion corrections**: -1120.7 meV/atom
**Magnetic moment**: 0.00 μB per atom

The structure in extended XYZ format:
```
12
Lattice="4.241 0.000 0.000 0.000 8.557 0.401 -2.120 -2.369 8.946" Properties=species:S:1:pos:R:3 pbc="T T T"
Th 0.000 6.170 6.306
Th 2.120 4.116 3.274
Th 2.120 0.018 3.040
Th 0.000 2.110 0.177
Th 2.120 4.077 9.170
Th 0.000 2.071 6.072
Si 2.120 4.125 6.226
Si 0.000 2.063 3.121
Au 2.120 0.000 0.000
Se 2.120 4.278 0.200
Se 2.120 -0.157 6.056
Se 0.000 6.345 3.291
```

(3)
Below is a relaxed Th8Si3AuSe4 crystal, with properties calculated at the PBE level.

Calculated values
**ρ**: 9337 kg/m³
**Final energy**: -111.06 eV per cell
**DOS at the Fermi energy**: 11.17 states/eV per cell
**Formation energy without anion corrections**: -1138.8 meV/atom
**Magnetic moment**: 0.00 μB per atom

The structure in extended XYZ format:
```
16
Lattice="-4.307 5.800 4.586 -6.865 -1.309 -4.791 3.846 -6.558 3.923" Properties=species:S:1:pos:R:3 pbc="T T T"
Th -2.348 -6.011 1.485
Th -4.231 -2.796 -0.437
Th -0.960 -2.216 1.901
Th -4.458 -3.169 3.733
Th -2.868 1.101 -0.015
Th -6.366 0.148 1.817
Th -3.094 0.729 4.155
Th -4.978 3.943 2.233
Si -5.586 2.245 -0.102
Si -3.663 -1.034 1.859
Si -1.510 -3.934 -0.434
Au -3.432 -0.655 -2.396
Se -2.153 2.900 2.293
Se -0.230 -0.379 4.255
Se 0.000 0.000 0.000
Se 1.923 -3.279 1.961
```

(4)
Below is a relaxed TlSiAu2Se4 crystal, with properties calculated at the PBE level.

Calculated values
**ρ**: 7388 kg/m³
**Final energy**: -30.31 eV per cell
**DOS at the Fermi energy**: 3.11 states/eV per cell
**Formation energy without anion corrections**: -253.8 meV/atom
**Magnetic moment**: 0.00 μB per atom

The structure in extended XYZ format:
```
8
Lattice="-2.032 -6.364 -1.464 1.882 -5.115 3.650 -5.898 -2.212 1.830" Properties=species:S:1:pos:R:3 pbc="T T T"
Tl 0.000 0.000 0.000
Si -2.008 -3.664 2.740
Au -1.704 -7.339 2.317
Au -4.345 -6.353 1.700
Se -5.206 -8.533 2.603
Se -3.209 -4.275 0.860
Se -2.085 -9.050 0.518
Se -1.596 -5.524 4.052
```

Calculated calculated volume in order - 220; 329; 436; 212 Å³ per cell